No. 1
The following is a PBEsol calculation of a geometry-optimized Zn2CrSe structure, from the Alexandria database.

Cell: 5.587 5.587 3.465 Å, 107.20 107.20 126.35°
Positions (direct):
1 Zn 0.000 0.500 0.000
2 Zn 0.500 0.000 0.000
3 Cr 0.000 0.000 0.000
4 Se 0.500 0.500 0.000

Output
- D(E_F): 1.56 states/eV/f.u.
- Volume: 16.453 Å³ per atom
- E_form (uncorrected): 0.128 eV/atom
- Space group: C2/m, No. 12
- Magnetic moment: 3.5 μB/cell

No. 2
The following is a PBEsol calculation of a geometry-optimized Na2LiBH structure, from the Alexandria database.

Cell: 5.142 5.142 4.325 Å, 90.00 90.00 90.00°
Positions (direct):
1 Na 0.000 0.500 0.000
2 Na 0.500 0.000 0.000
3 Li 0.000 0.000 0.500
4 B 0.000 0.000 0.000
5 H 0.500 0.500 0.500

Output
- D(E_F): 1.60 states/eV/f.u.
- Volume: 22.872 Å³ per atom
- DFT total energy: -10.7 eV per cell
- Space group: P4/mmm, No. 123
- Magnetic moment: 2.9 μB/cell